DFT (PBE) results for a relaxed structure of AcLa5Pr2Nd.

Summary:
ΔE_f: 2.1 eV per formula unit
total moment: 0.00 μB per cell
DFT total energy: -0.3344 Ry/atom

abc: 9.2188 9.2188 16.0837
angles: 90.00 90.00 90.00
Last column: nearest neighbours and their distance in Å.
Space group I4/mcm (No. 140)
Asymmetric unit:
Ac (0.0000, 0.5000, 0.2500)  4 La 3.30
La (0.0000, 0.0000, 0.0000)  4 Pr 3.70, 8 La 3.94, 2 Nd 4.02
La (0.2087, 0.2913, 0.1333)  1 Pr 3.14, 1 Ac 3.30
Pr (0.1159, 0.3841, 0.5000)  1 Pr 3.02, 2 La 3.14
Nd (0.0000, 0.0000, 0.2500)  10 La 3.80-4.02